[1]
Here is a relaxed CaTc2Rh crystal from Alexandria. Energies are from GGA-PBE.

Properties
**Final energy**: -6.830 eV per atom
**Energy relative to the lowest polymorph listed for this composition**: 521 meV per atom
**DFT formation energy**: 15.94 kcal/mol of atoms
**Crystal system**: cubic
**SG**: Fm-3m
**V**: 16.5 A^3/atom

Lattice parameters (Å, degrees): 4.5321 4.5321 4.5321 60.00 60.00 60.00
Closest atoms and distances in Å follow each position.
Fractional coordinates of all 4 atoms:
Ca  0.0000  0.0000  0.0000  8 Tc 2.78
Rh  0.5000  0.5000  0.5000  8 Tc 2.78
Tc  0.2500  0.2500  0.2500  4 Rh 2.78, 4 Ca 2.78
Tc  0.7500  0.7500  0.7500  4 Rh 2.78, 4 Ca 2.78

=====

[2]
Here is a relaxed CeScSi crystal from Alexandria. Energies are from GGA-PBE.

Properties
**Final energy**: -6.250 eV per atom
**ΔE_f (raw)**: -354 meV per atom
**Energy relative to the lowest polymorph listed for this composition**: 185 meV per atom
**Crystal system**: cubic
**SG**: F-43m
**V**: 25.0 A^3/atom

Lattice parameters (Å, degrees): 4.7337 4.7337 4.7337 60.00 60.00 60.00
Closest atoms and distances in Å follow each position.
Fractional coordinates of all 3 atoms:
Sc  0.0000  0.0000  0.0000  4 Si 2.90
Si  0.2500  0.2500  0.2500  4 Ce 2.90, 4 Sc 2.90
Ce  0.5000  0.5000  0.5000  4 Si 2.90

=====

[3]
Here is a relaxed PmHo6Al2 crystal from Alexandria. Energies are from GGA-PBE.

Properties
**Final energy**: -4.574 eV per atom
**Energy relative to the lowest polymorph listed for this composition**: 0 meV per atom
**DFT formation energy**: -3.75 kcal/mol of atoms
**Crystal system**: monoclinic
**SG**: C2/m
**V**: 28.4 A^3/atom

Lattice parameters (Å, degrees): 3.6723 6.5109 11.5602 75.16 80.86 73.62
Closest atoms and distances in Å follow each position.
Fractional coordinates of all 9 atoms:
Pm  0.0000  0.0000  0.0000  4 Al 3.18
Ho  0.6897  0.4947  0.1258  2 Al 3.12, 5 Ho 3.38-3.48
Ho  0.3103  0.5053  0.8742  2 Al 3.12, 5 Ho 3.38-3.48
Ho  0.3103  0.7938  0.5857  2 Al 3.16, 4 Ho 3.38-3.46
Ho  0.9810  0.7046  0.3335  2 Al 3.08
Ho  0.0190  0.2954  0.6665  2 Al 3.08
Ho  0.6898  0.2062  0.4143  2 Al 3.16, 4 Ho 3.38-3.46
Al  0.3505  0.0862  0.2128  6 Ho 3.08-3.16, 2 Pm 3.18
Al  0.6495  0.9138  0.7872  6 Ho 3.08-3.16, 2 Pm 3.18

=====

[4]
Here is a relaxed KTh2ReN5 crystal from Alexandria. Energies are from GGA-PBE.

Properties
**Final energy**: -8.667 eV per atom
**ΔE_f (raw)**: -888 meV per atom
**Crystal system**: tetragonal
**SG**: I4/mcm
**V**: 15.7 A^3/atom

Lattice parameters (Å, degrees): 6.9897 6.9897 7.6157 117.32 117.32 90.00
Closest atoms and distances in Å follow each position.
Fractional coordinates of all 18 atoms:
K  0.2500  0.2500  0.5000  10 N 2.90-2.98
K  0.7500  0.7500  0.5000  10 N 2.90-2.98
Th  0.1845  0.3155  0.0000  4 N 2.40-2.55
Th  0.6845  0.1845  0.0000  4 N 2.40-2.55
Th  0.3155  0.8155  0.0000  4 N 2.40-2.55
Th  0.8155  0.6845  0.0000  4 N 2.40-2.55
Re  0.2500  0.7500  0.5000  4 N 1.86
Re  0.7500  0.2500  0.5000  4 N 1.86
N  0.0030  0.5030  0.2828  1 Re 1.86
N  0.7202  0.2202  0.7172  1 Re 1.86
N  0.9970  0.4970  0.7172  1 Re 1.86
N  0.2202  0.9970  0.7172  1 Re 1.86
N  0.4970  0.7202  0.7172  1 Re 1.86
N  0.7798  0.0030  0.2828  1 Re 1.86
N  0.5030  0.2798  0.2828  1 Re 1.86
N  0.2798  0.7798  0.2828  1 Re 1.86
N  0.5000  0.5000  0.0000  4 Th 2.55
N  0.0000  0.0000  0.0000  4 Th 2.55

=====

Question: Among the records above, which one has the highest V?
Answer: PmHo6Al2

=====

Copy entry 1 word for word.
Here is a relaxed CaTc2Rh crystal from Alexandria. Energies are from GGA-PBE.

Properties
**Final energy**: -6.830 eV per atom
**Energy relative to the lowest polymorph listed for this composition**: 521 meV per atom
**DFT formation energy**: 15.94 kcal/mol of atoms
**Crystal system**: cubic
**SG**: Fm-3m
**V**: 16.5 A^3/atom

Lattice parameters (Å, degrees): 4.5321 4.5321 4.5321 60.00 60.00 60.00
Closest atoms and distances in Å follow each position.
Fractional coordinates of all 4 atoms:
Ca  0.0000  0.0000  0.0000  8 Tc 2.78
Rh  0.5000  0.5000  0.5000  8 Tc 2.78
Tc  0.2500  0.2500  0.2500  4 Rh 2.78, 4 Ca 2.78
Tc  0.7500  0.7500  0.7500  4 Rh 2.78, 4 Ca 2.78